No. 1
Material: Ac7Pm4Pr
Method: DFT, PBE
State: relaxed

Unit cell a=6.4497 b=10.1046 c=9.1624 alpha=66.16 beta=69.39 gamma=71.39
With the nearest neighbours (Å) after each atom.
Sites, in units of the cell vectors:
Ac: 0.7955 0.8778 0.5312  6 Ac 3.84-3.93, 4 Pm 3.94-4.23
Ac: 0.2045 0.1222 0.4688  6 Ac 3.84-3.93, 4 Pm 3.94-4.23
Ac: 0.0865 0.5550 0.2720  5 Pm 3.59-3.85, 3 Ac 3.70-3.93
Ac: 0.9135 0.4450 0.7280  5 Pm 3.59-3.85, 3 Ac 3.70-3.93
Ac: 0.2334 0.7362 0.7970  4 Pm 3.44-3.69, 1 Pr 3.51, 1 Ac 3.84
Ac: 0.5000 0.0000 0.0000  2 Pr 3.22, 2 Pm 3.36
Ac: 0.7666 0.2638 0.2030  4 Pm 3.44-3.69, 1 Pr 3.51, 1 Ac 3.84
Pm: 0.5558 0.2996 0.5889  2 Ac 3.44-3.74, 2 Pm 3.59-3.63
Pm: 0.4442 0.7004 0.4111  2 Ac 3.44-3.74, 2 Pm 3.59-3.63
Pm: 0.6694 0.6442 0.0171  5 Ac 3.36-3.69, 1 Pm 3.59
Pm: 0.3306 0.3558 0.9829  5 Ac 3.36-3.69, 1 Pm 3.59
Pr: 0.0000 0.0000 0.0000  4 Ac 3.22-3.51

Properties
- Crystal system: monoclinic
- Energy above the most stable polymorph in this dataset: 0.191 eV per atom
- Calculated formation energy: 267 kJ/mol of formula units
- E_tot: -4.148 eV/atom

***

No. 2
Material: PmErAs2Rh5
Method: DFT, PBE
State: relaxed

Unit cell a=4.2630 b=4.2630 c=8.7949 alpha=90.00 beta=90.00 gamma=90.00
With the nearest neighbours (Å) after each atom.
Sites, in units of the cell vectors:
Pm: 0.0000 0.0000 0.5000  12 Rh 2.98-3.01
Er: 0.0000 0.0000 0.0000  8 Rh 3.14, 8 As 3.27
As: 0.5000 0.5000 0.1452  4 Rh 2.37, 1 As 2.55
As: 0.5000 0.5000 0.8548  4 Rh 2.37, 1 As 2.55
Rh: 0.0000 0.5000 0.2624  2 As 2.37
Rh: 0.5000 0.0000 0.2624  2 As 2.37
Rh: 0.0000 0.5000 0.7376  2 As 2.37
Rh: 0.5000 0.0000 0.7376  2 As 2.37
Rh: 0.5000 0.5000 0.5000  8 Rh 2.98, 4 Pm 3.01, 2 As 3.12

Properties
- Crystal system: tetragonal
- Calculated formation energy: -648 kJ/mol of formula units
- E_tot: -6.899 eV/atom

***

No. 3
Material: HoZn2Ni4
Method: DFT, PBE
State: relaxed

Unit cell a=5.6130 b=5.6130 c=5.6130 alpha=101.60 beta=101.60 gamma=126.71
With the nearest neighbours (Å) after each atom.
Sites, in units of the cell vectors:
Ho: 0.0000 0.0000 0.0000  8 Ni 2.97
Zn: 0.2500 0.7500 0.5000  4 Ni 2.34, 2 Zn 2.52
Zn: 0.7500 0.2500 0.5000  4 Ni 2.34, 2 Zn 2.52
Ni: 0.7214 0.5000 0.2214  2 Ni 2.22, 2 Zn 2.34
Ni: 0.5000 0.7214 0.2214  2 Ni 2.22, 2 Zn 2.34
Ni: 0.5000 0.2786 0.7786  2 Ni 2.22, 2 Zn 2.34
Ni: 0.2786 0.5000 0.7786  2 Ni 2.22, 2 Zn 2.34

Properties
- Crystal system: tetragonal
- Energy above the most stable polymorph in this dataset: 0.584 eV per atom
- Calculated formation energy: 190 kJ/mol of formula units
- E_tot: -4.040 eV/atom

***

No. 4
Material: KAsP2Cl
Method: DFT, PBE
State: relaxed

Unit cell a=6.4778 b=6.4778 c=5.5408 alpha=90.00 beta=90.00 gamma=90.00
With the nearest neighbours (Å) after each atom.
Sites, in units of the cell vectors:
P: 0.0000 0.5000 0.0000  2 K 3.24
P: 0.5000 0.0000 0.0000  2 K 3.24
As: 0.5000 0.5000 0.5000  8 P 4.26, 4 Cl 4.58
K: 0.0000 0.0000 0.0000  2 Cl 2.77
Cl: 0.0000 0.0000 0.5000  2 K 2.77

Properties
- Crystal system: tetragonal
- Energy above the most stable polymorph in this dataset: 1.244 eV per atom
- Formation energy from raw total energies: 1.300 eV/atom
- E_tot: -2.383 eV/atom

***

No. 5
Material: HgTe2Pt
Method: DFT, PBE
State: relaxed

Unit cell a=9.3572 b=4.0249 c=12.3492 alpha=90.00 beta=90.00 gamma=90.00
With the nearest neighbours (Å) after each atom.
Sites, in units of the cell vectors:
Te: 0.6489 0.2500 0.5633  3 Pt 2.66-2.78
Te: 0.8511 0.7500 0.0633  3 Pt 2.66-2.78
Te: 0.3511 0.7500 0.4367  3 Pt 2.66-2.78
Te: 0.1489 0.2500 0.9367  3 Pt 2.66-2.78
Te: 0.3437 0.2500 0.7215  2 Pt 2.65
Te: 0.1563 0.7500 0.2215  2 Pt 2.65
Te: 0.6563 0.7500 0.2785  2 Pt 2.65
Te: 0.8437 0.2500 0.7785  2 Pt 2.65
Hg: 0.0665 0.2500 0.5784  2 Hg 3.06, 2 Te 3.14-3.23
Hg: 0.4335 0.7500 0.0784  2 Hg 3.06, 2 Te 3.14-3.23
Hg: 0.9335 0.7500 0.4216  2 Hg 3.06, 2 Te 3.14-3.23
Hg: 0.5665 0.2500 0.9216  2 Hg 3.06, 2 Te 3.14-3.23
Pt: 0.5108 0.2500 0.3644  5 Te 2.65-2.78
Pt: 0.9892 0.7500 0.8644  5 Te 2.65-2.78
Pt: 0.4892 0.7500 0.6356  5 Te 2.65-2.78
Pt: 0.0108 0.2500 0.1356  5 Te 2.65-2.78

Properties
- Crystal system: orthorhombic
- Formation energy from raw total energies: -0.177 eV/atom
- E_tot: -3.334 eV/atom

***

No. 6
Material: Ce5Tm12Sn3
Method: DFT, PBE
State: relaxed

Unit cell a=15.2486 b=15.2486 c=15.2486 alpha=109.47 beta=109.47 gamma=109.47
With the nearest neighbours (Å) after each atom.
Sites, in units of the cell vectors:
Sn: 0.7500 0.3750 0.1250  8 Tm 3.05-3.27
Sn: 0.8750 0.7500 0.1250  8 Tm 3.05-3.27
Sn: 0.3750 0.7500 0.6250  8 Tm 3.05-3.27
Sn: 0.2500 0.1250 0.3750  8 Tm 3.05-3.27
Sn: 0.8750 0.1250 0.2500  8 Tm 3.05-3.27
Sn: 0.3750 0.6250 0.2500  8 Tm 3.05-3.27
Sn: 0.6250 0.3750 0.7500  8 Tm 3.05-3.27
Sn: 0.1250 0.8750 0.7500  8 Tm 3.05-3.27
Sn: 0.7500 0.8750 0.6250  8 Tm 3.05-3.27
Sn: 0.6250 0.2500 0.3750  8 Tm 3.05-3.27
Sn: 0.1250 0.2500 0.8750  8 Tm 3.05-3.27
Sn: 0.2500 0.6250 0.8750  8 Tm 3.05-3.27
Ce: 0.1250 0.3750 0.2500  4 Tm 3.02
Ce: 0.0000 0.5000 0.0000  6 Tm 2.99
Ce: 0.0000 0.0000 0.0000  6 Tm 2.99
Ce: 0.3750 0.2500 0.1250  4 Tm 3.02
Ce: 0.5000 0.0000 0.5000  6 Tm 2.99
Ce: 0.5000 0.5000 0.0000  6 Tm 2.99
Ce: 0.1250 0.7500 0.3750  4 Tm 3.02
Ce: 0.7500 0.1250 0.8750  4 Tm 3.02
Ce: 0.7500 0.6250 0.3750  4 Tm 3.02
Ce: 0.3750 0.1250 0.7500  4 Tm 3.02
Ce: 0.6250 0.8750 0.2500  4 Tm 3.02
Ce: 0.5000 0.5000 0.5000  6 Tm 2.99
Ce: 0.5000 0.0000 0.0000  6 Tm 2.99
Ce: 0.0000 0.0000 0.5000  6 Tm 2.99
Ce: 0.2500 0.3750 0.6250  4 Tm 3.02
Ce: 0.2500 0.8750 0.1250  4 Tm 3.02
Ce: 0.0000 0.5000 0.5000  6 Tm 2.99
Ce: 0.8750 0.2500 0.6250  4 Tm 3.02
Ce: 0.6250 0.7500 0.8750  4 Tm 3.02
Ce: 0.8750 0.6250 0.7500  4 Tm 3.02
Tm: 0.7292 0.1399 0.0687  2 Ce 2.99-3.02, 2 Sn 3.05-3.27, 1 Tm 3.18
Tm: 0.3394 0.5687 0.4287  2 Ce 2.99-3.02, 2 Sn 3.05-3.27, 1 Tm 3.18
Tm: 0.9313 0.3601 0.2708  2 Ce 2.99-3.02, 2 Sn 3.05-3.27, 1 Tm 3.18
Tm: 0.5687 0.2292 0.1399  2 Ce 2.99-3.02, 2 Sn 3.05-3.27, 1 Tm 3.18
Tm: 0.5893 0.7292 0.6606  2 Ce 2.99-3.02, 2 Sn 3.05-3.27, 1 Tm 3.18
Tm: 0.9313 0.5713 0.1606  2 Ce 2.99-3.02, 2 Sn 3.05-3.27, 1 Tm 3.18
Tm: 0.3394 0.7708 0.4107  2 Ce 2.99-3.02, 2 Sn 3.05-3.27, 1 Tm 3.18
Tm: 0.0713 0.9107 0.1399  2 Ce 2.99-3.02, 2 Sn 3.05-3.27, 1 Tm 3.18
Tm: 0.5713 0.9313 0.6606  2 Ce 2.99-3.02, 2 Sn 3.05-3.27, 1 Tm 3.18
Tm: 0.7292 0.5893 0.1606  2 Ce 2.99-3.02, 2 Sn 3.05-3.27, 1 Tm 3.18
Tm: 0.7708 0.4313 0.3601  2 Ce 2.99-3.02, 2 Sn 3.05-3.27, 1 Tm 3.18
Tm: 0.8394 0.9287 0.0687  2 Ce 2.99-3.02, 2 Sn 3.05-3.27, 1 Tm 3.18
Tm: 0.1399 0.7292 0.5687  2 Ce 2.99-3.02, 2 Sn 3.05-3.27, 1 Tm 3.18
Tm: 0.3601 0.4287 0.0893  2 Ce 2.99-3.02, 2 Sn 3.05-3.27, 1 Tm 3.18
Tm: 0.0893 0.9287 0.3601  2 Ce 2.99-3.02, 2 Sn 3.05-3.27, 1 Tm 3.18
Tm: 0.4107 0.1399 0.5713  2 Ce 2.99-3.02, 2 Sn 3.05-3.27, 1 Tm 3.18
Tm: 0.0893 0.1606 0.2292  2 Ce 2.99-3.02, 2 Sn 3.05-3.27, 1 Tm 3.18
Tm: 0.4313 0.6606 0.0713  2 Ce 2.99-3.02, 2 Sn 3.05-3.27, 1 Tm 3.18
Tm: 0.8394 0.9107 0.2708  2 Ce 2.99-3.02, 2 Sn 3.05-3.27, 1 Tm 3.18
Tm: 0.1399 0.4107 0.0713  2 Ce 2.99-3.02, 2 Sn 3.05-3.27, 1 Tm 3.18
Tm: 0.3601 0.9313 0.7708  2 Ce 2.99-3.02, 2 Sn 3.05-3.27, 1 Tm 3.18
Tm: 0.5713 0.6399 0.4107  2 Ce 2.99-3.02, 2 Sn 3.05-3.27, 1 Tm 3.18
Tm: 0.9287 0.8394 0.5687  2 Ce 2.99-3.02, 2 Sn 3.05-3.27, 1 Tm 3.18
Tm: 0.7708 0.3394 0.9107  2 Ce 2.99-3.02, 2 Sn 3.05-3.27, 1 Tm 3.18
Tm: 0.4287 0.3601 0.5893  2 Ce 2.99-3.02, 2 Sn 3.05-3.27, 1 Tm 3.18
Tm: 0.0713 0.1606 0.4313  2 Ce 2.99-3.02, 2 Sn 3.05-3.27, 1 Tm 3.18
Tm: 0.2292 0.6606 0.0893  2 Ce 2.99-3.02, 2 Sn 3.05-3.27, 1 Tm 3.18
Tm: 0.1606 0.0893 0.7292  2 Ce 2.99-3.02, 2 Sn 3.05-3.27, 1 Tm 3.18
Tm: 0.6399 0.0687 0.2292  2 Ce 2.99-3.02, 2 Sn 3.05-3.27, 1 Tm 3.18
Tm: 0.8601 0.5893 0.9287  2 Ce 2.99-3.02, 2 Sn 3.05-3.27, 1 Tm 3.18
Tm: 0.5687 0.3394 0.9287  2 Ce 2.99-3.02, 2 Sn 3.05-3.27, 1 Tm 3.18
Tm: 0.5893 0.8601 0.4287  2 Ce 2.99-3.02, 2 Sn 3.05-3.27, 1 Tm 3.18
Tm: 0.9107 0.8394 0.7708  2 Ce 2.99-3.02, 2 Sn 3.05-3.27, 1 Tm 3.18
Tm: 0.9107 0.0713 0.6399  2 Ce 2.99-3.02, 2 Sn 3.05-3.27, 1 Tm 3.18
Tm: 0.8601 0.2708 0.4313  2 Ce 2.99-3.02, 2 Sn 3.05-3.27, 1 Tm 3.18
Tm: 0.1606 0.0713 0.9313  2 Ce 2.99-3.02, 2 Sn 3.05-3.27, 1 Tm 3.18
Tm: 0.6399 0.5713 0.9107  2 Ce 2.99-3.02, 2 Sn 3.05-3.27, 1 Tm 3.18
Tm: 0.4287 0.0687 0.3394  2 Ce 2.99-3.02, 2 Sn 3.05-3.27, 1 Tm 3.18
Tm: 0.2708 0.4107 0.8394  2 Ce 2.99-3.02, 2 Sn 3.05-3.27, 1 Tm 3.18
Tm: 0.2292 0.5687 0.6399  2 Ce 2.99-3.02, 2 Sn 3.05-3.27, 1 Tm 3.18
Tm: 0.9287 0.0893 0.8601  2 Ce 2.99-3.02, 2 Sn 3.05-3.27, 1 Tm 3.18
Tm: 0.6606 0.2292 0.5893  2 Ce 2.99-3.02, 2 Sn 3.05-3.27, 1 Tm 3.18
Tm: 0.4313 0.7708 0.8601  2 Ce 2.99-3.02, 2 Sn 3.05-3.27, 1 Tm 3.18
Tm: 0.0687 0.4287 0.8394  2 Ce 2.99-3.02, 2 Sn 3.05-3.27, 1 Tm 3.18
Tm: 0.4107 0.2708 0.3394  2 Ce 2.99-3.02, 2 Sn 3.05-3.27, 1 Tm 3.18
Tm: 0.0687 0.6399 0.7292  2 Ce 2.99-3.02, 2 Sn 3.05-3.27, 1 Tm 3.18
Tm: 0.6606 0.4313 0.5713  2 Ce 2.99-3.02, 2 Sn 3.05-3.27, 1 Tm 3.18
Tm: 0.2708 0.8601 0.9313  2 Ce 2.99-3.02, 2 Sn 3.05-3.27, 1 Tm 3.18

Properties
- Crystal system: cubic
- Calculated formation energy: 1491 kJ/mol of formula units
- E_tot: -3.994 eV/atom

***

Which value of E_tot does entry 5 give? -3.334 eV/atom

***

Which value of E_tot does entry 4 give? -2.383 eV/atom

***

The highest E_tot belongs to which entry? KAsP2Cl

***

What is the E_tot in the fourth record? -2.383 eV/atom